Computed, not measured: a relaxed structure of LaScCr2 at the PBE-GGA level of DFT.

```
4
Lattice="-1.6619 -5.8312 3.3843 0.3014 -6.9368 0.0906 2.3239 -5.6593 3.2848" Properties=species:S:1:pos:R:3 pbc="T T T"
Cr 0.9388 -17.9560 6.5868
Cr 0.2816 -5.3862 1.9758
La 0.5011 -9.5848 3.5160
Sc 0.6871 -13.1413 4.8206
```

Computed properties:
SG = No. 160
Formation energy = 367 meV per atom
Size of the total moment = 0.02 μB per formula unit
Polymorph energy (0 for the lowest one) = 0.0 meV/atom
Fermi-level density of states = 4.858 states/eV per cell

Computed, not measured: a relaxed structure of SrBe2Mo at the PBE-GGA level of DFT.

```
4
Lattice="-4.6448 -2.1934 0.6598 -1.0878 -1.4989 4.8364 1.7680 4.3292 -2.2256" Properties=species:S:1:pos:R:3 pbc="T T T"
Sr -2.8716 0.1448 0.5912
Mo -2.8663 -1.8462 2.7481
Be 0.0000 0.0000 0.0000
Be -1.0930 0.4920 2.6795
```

Computed properties:
SG = No. 119
Formation energy = 1059 meV per atom
Size of the total moment = 0.00 μB per formula unit
Polymorph energy (0 for the lowest one) = 680.8 meV/atom
Fermi-level density of states = 2.247 states/eV per cell

Computed, not measured: a relaxed structure of RbMgTl2Pt at the PBE-GGA level of DFT.

```
5
Lattice="-4.3812 2.6037 1.9321 0.4037 -2.7846 4.6680 3.0939 3.7462 1.9672" Properties=species:S:1:pos:R:3 pbc="T T T"
Mg 1.5470 1.8731 0.9836
Tl 0.2019 -1.3923 2.3340
Tl -2.1906 1.3019 0.9661
Rb -0.4418 1.7827 4.2837
Pt 0.0000 0.0000 0.0000
```

Computed properties:
SG = No. 123
Formation energy = -153 meV per atom
Size of the total moment = 0.00 μB per formula unit
Fermi-level density of states = 3.091 states/eV per cell

Computed, not measured: a relaxed structure of Re2HgMo at the PBE-GGA level of DFT.

```
4
Lattice="2.8459 0.0000 0.0000 0.0000 2.8459 0.0000 0.0000 0.0000 8.2457" Properties=species:S:1:pos:R:3 pbc="T T T"
Hg 0.0000 0.0000 4.0982
Mo 1.4230 1.4230 6.3629
Re 0.0000 0.0000 0.0774
Re 1.4230 1.4230 1.8300
```

Computed properties:
SG = No. 99
Formation energy = 384 meV per atom
Size of the total moment = 0.00 μB per formula unit
Fermi-level density of states = 3.187 states/eV per cell

Computed, not measured: a relaxed structure of CsVGe2N at the PBE-GGA level of DFT.

```
5
Lattice="-1.1598 2.1493 -3.5013 0.9654 -4.5049 -3.0851 -4.0406 -1.2549 0.5681" Properties=species:S:1:pos:R:3 pbc="T T T"
Cs 0.4827 -2.2525 -1.5426
Ge -2.0203 -0.6275 0.2840
Ge -0.5799 1.0747 -1.7507
N 0.0000 0.0000 0.0000
V -2.1175 -1.8053 -3.0092
```

Computed properties:
SG = No. 123
Formation energy without anion corrections = 1.448 eV/atom
Size of the total moment = 0.06 μB per formula unit
Fermi-level density of states = 8.549 states/eV per cell

Computed, not measured: a relaxed structure of La2AlHPd at the PBE-GGA level of DFT.

```
5
Lattice="5.3098 0.0000 0.0000 0.0000 5.3098 0.0000 0.0000 0.0000 3.8355" Properties=species:S:1:pos:R:3 pbc="T T T"
H 0.0000 0.0000 0.0000
Al 2.6549 2.6549 1.9177
Pd 0.0000 0.0000 1.9177
La 0.0000 2.6549 0.0000
La 2.6549 0.0000 0.0000
```

Computed properties:
SG = No. 123
DFT total energy = -4.91 eV per atom
Size of the total moment = 0.00 μB per formula unit
Fermi-level density of states = 4.820 states/eV per cell

Computed, not measured: a relaxed structure of Tm12In6Pt at the PBE-GGA level of DFT.

```
19
Lattice="-5.6755 -2.7052 -4.9285 5.1276 -5.3983 -2.8959 -2.3478 -5.1920 5.5992" Properties=species:S:1:pos:R:3 pbc="T T T"
Tm -2.8458 -7.3553 -3.0303
Tm 0.3488 -8.3065 -1.5037
Tm -2.6563 -7.9997 0.5738
Tm -0.0499 -5.9402 0.8051
Tm -3.2445 -4.9889 -0.7215
Tm -0.2394 -5.2957 -2.7990
Tm -0.2488 -2.6185 1.4848
Tm -3.8896 -10.9187 -0.6485
Tm -0.6778 -11.5283 -1.1854
Tm -2.6469 -10.6769 -3.7100
Tm 0.9939 -2.3768 -1.5767
Tm -2.2179 -1.7671 -1.0398
In -0.1412 -8.0799 -4.6214
In -2.9975 -4.1232 -3.8137
In 2.4626 -5.7649 -1.1103
In -2.7545 -5.2155 2.3962
In 0.1018 -9.1722 1.5885
In -5.3582 -7.5306 -1.1149
Pt 0.0000 0.0000 0.0000
```

Computed properties:
SG = No. 148
Formation energy = -274 meV per atom
Size of the total moment = 0.00 μB per formula unit
Fermi-level density of states = 21.626 states/eV per cell

Computed, not measured: a relaxed structure of SiHg3Br at the PBE-GGA level of DFT.

```
5
Lattice="-5.7574 1.0620 -0.8454 -0.2548 -4.4641 -3.8725 -1.3333 -3.7328 4.3908" Properties=species:S:1:pos:R:3 pbc="T T T"
Si -3.6727 -3.5675 -0.1636
Hg -0.1274 -2.2321 -1.9363
Hg -0.6666 -1.8664 2.1954
Hg -2.8787 0.5310 -0.4227
Br 0.0000 0.0000 0.0000
```

Computed properties:
SG = No. 221
Formation energy without anion corrections = 0.899 eV/atom
Size of the total moment = 1.34 μB per formula unit
Polymorph energy (0 for the lowest one) = 948.0 meV/atom
Fermi-level density of states = 3.117 states/eV per cell

Among the records above, which one has the highest Fermi-level density of states? Tm12In6Pt

What is the formula in the fourth record? Re2HgMo

Please write out number 7 again, unchanged.
Computed, not measured: a relaxed structure of Tm12In6Pt at the PBE-GGA level of DFT.

```
19
Lattice="-5.6755 -2.7052 -4.9285 5.1276 -5.3983 -2.8959 -2.3478 -5.1920 5.5992" Properties=species:S:1:pos:R:3 pbc="T T T"
Tm -2.8458 -7.3553 -3.0303
Tm 0.3488 -8.3065 -1.5037
Tm -2.6563 -7.9997 0.5738
Tm -0.0499 -5.9402 0.8051
Tm -3.2445 -4.9889 -0.7215
Tm -0.2394 -5.2957 -2.7990
Tm -0.2488 -2.6185 1.4848
Tm -3.8896 -10.9187 -0.6485
Tm -0.6778 -11.5283 -1.1854
Tm -2.6469 -10.6769 -3.7100
Tm 0.9939 -2.3768 -1.5767
Tm -2.2179 -1.7671 -1.0398
In -0.1412 -8.0799 -4.6214
In -2.9975 -4.1232 -3.8137
In 2.4626 -5.7649 -1.1103
In -2.7545 -5.2155 2.3962
In 0.1018 -9.1722 1.5885
In -5.3582 -7.5306 -1.1149
Pt 0.0000 0.0000 0.0000
```

Computed properties:
SG = No. 148
Formation energy = -274 meV per atom
Size of the total moment = 0.00 μB per formula unit
Fermi-level density of states = 21.626 states/eV per cell